Computed, not measured: a PBEsol-optimized structure of Mg2GeBiSe at the meta-GGA SCAN level of DFT.

Fermi-level density of states ... 2.671 states/eV/cell
E_form (uncorrected) ... 0.65 eV per atom
Total magnetic moment ... 0.44 μB per cell
DFT total energy ... -24.88 eV per atom

Unit cell a=5.3284 b=5.3284 c=5.6078 alpha=90.00 beta=90.00 gamma=90.00
Space group P4/mmm (No. 123)
Symmetry-distinct sites (fractional):
Mg 0.0000 0.5000 0.0000 (multiplicity 2)
Ge 0.0000 0.0000 0.5000 (multiplicity 1)
Bi 0.5000 0.5000 0.0000 (multiplicity 1)
Se 0.5000 0.5000 0.5000 (multiplicity 1)